Entry 1:
The following is a PBE-GGA calculation of a geometry-optimized CdInSiPd2 structure, from the Alexandria database.

Summary:
E_form (uncorrected)   3.5 eV per formula unit

Unit cell a=5.0305 b=5.0305 c=4.8897 alpha=90.00 beta=90.00 gamma=90.00
With the nearest neighbours (Å) after each atom.
Space group P4/mmm (No. 123)
Unique sites:
Cd  0.0000  0.0000  0.0000  8 Pd 3.51, 4 Si 3.56
In  0.5000  0.5000  0.5000  2 Si 2.44, 4 Pd 2.52
Si  0.5000  0.5000  0.0000  2 In 2.44
Pd  0.0000  0.5000  0.5000  2 In 2.52



Entry 2:
The following is a PBE-GGA calculation of a geometry-optimized SrCdIn2Pd structure, from the Alexandria database.

Summary:
Calculated formation energy   -1.54 eV/f.u.

Unit cell a=5.2057 b=5.2057 c=5.2587 alpha=90.00 beta=90.00 gamma=90.00
With the nearest neighbours (Å) after each atom.
Space group P4/mmm (No. 123)
Unique sites:
Sr  0.0000  0.0000  0.0000  4 Cd 3.68, 8 In 3.70
Cd  0.5000  0.5000  0.0000  2 Pd 2.63
In  0.0000  0.5000  0.5000  2 Pd 2.60
Pd  0.5000  0.5000  0.5000  4 In 2.60, 2 Cd 2.63



Copy entry 1 word for word.
The following is a PBE-GGA calculation of a geometry-optimized CdInSiPd2 structure, from the Alexandria database.

Summary:
E_form (uncorrected)   3.5 eV per formula unit

Unit cell a=5.0305 b=5.0305 c=4.8897 alpha=90.00 beta=90.00 gamma=90.00
With the nearest neighbours (Å) after each atom.
Space group P4/mmm (No. 123)
Unique sites:
Cd  0.0000  0.0000  0.0000  8 Pd 3.51, 4 Si 3.56
In  0.5000  0.5000  0.5000  2 Si 2.44, 4 Pd 2.52
Si  0.5000  0.5000  0.0000  2 In 2.44
Pd  0.0000  0.5000  0.5000  2 In 2.52



What did the first record say?
The following is a PBE-GGA calculation of a geometry-optimized CdInSiPd2 structure, from the Alexandria database.

Summary:
E_form (uncorrected)   3.5 eV per formula unit

Unit cell a=5.0305 b=5.0305 c=4.8897 alpha=90.00 beta=90.00 gamma=90.00
With the nearest neighbours (Å) after each atom.
Space group P4/mmm (No. 123)
Unique sites:
Cd  0.0000  0.0000  0.0000  8 Pd 3.51, 4 Si 3.56
In  0.5000  0.5000  0.5000  2 Si 2.44, 4 Pd 2.52
Si  0.5000  0.5000  0.0000  2 In 2.44
Pd  0.0000  0.5000  0.5000  2 In 2.52